i | A relaxed structure of DyPIrO, computed with PBE.

Calculated values
**V**: 16.8 A^3/atom
**SG**: Pmc2_1, No. 26
**Spin magnetization**: 0.00 μB/f.u.
**Calculated density**: 9.90 g/cm³

Cell: 3.3864 7.4575 5.3370 Å, 90.00 90.00 90.00°
Closest atoms and distances in Å follow each position.
Positions (direct):
Dy: 0.0000 0.2112 0.0000  2 O 2.14
Dy: 0.0000 0.7888 0.5000  2 O 2.14
P: 0.0000 0.4187 0.4950  2 Ir 2.26
P: 0.0000 0.5813 0.9950  2 Ir 2.26
Ir: 0.5000 0.2182 0.4884  1 O 2.08, 2 P 2.26
Ir: 0.5000 0.7818 0.9884  1 O 2.08, 2 P 2.26
O: 0.5000 0.0528 0.8942  1 Ir 2.08, 2 Dy 2.14
O: 0.5000 0.9472 0.3942  1 Ir 2.08, 2 Dy 2.14

***

ii | A relaxed structure of DyPIrO, computed with PBE.

Calculated values
**V**: 17.5 A^3/atom
**SG**: P4/nmm, No. 129
**Spin magnetization**: 0.01 μB/f.u.
**Calculated density**: 9.54 g/cm³

Cell: 5.6131 5.6131 4.4382 Å, 90.00 90.00 90.00°
Closest atoms and distances in Å follow each position.
Positions (direct):
Dy: 0.2500 0.7500 0.0000  2 O 2.22
Dy: 0.7500 0.2500 0.0000  2 O 2.22
P: 0.2500 0.2500 0.0096  2 Ir 2.22
P: 0.7500 0.7500 0.9904  2 Ir 2.22
Ir: 0.2500 0.2500 0.5095  2 P 2.22
Ir: 0.7500 0.7500 0.4905  2 P 2.22
O: 0.2500 0.7500 0.5000  2 Dy 2.22
O: 0.7500 0.2500 0.5000  2 Dy 2.22

***

iii | A relaxed structure of DyPIrO, computed with PBE.

Calculated values
**V**: 15.6 A^3/atom
**SG**: P4/nmm, No. 129
**Spin magnetization**: 0.00 μB/f.u.
**Calculated density**: 10.68 g/cm³

Cell: 3.9494 3.9494 8.0121 Å, 90.00 90.00 90.00°
Closest atoms and distances in Å follow each position.
Positions (direct):
Dy: 0.2500 0.2500 0.1357  4 O 2.25
Dy: 0.7500 0.7500 0.8643  4 O 2.25
P: 0.2500 0.2500 0.6641  4 Ir 2.37
P: 0.7500 0.7500 0.3359  4 Ir 2.37
Ir: 0.2500 0.7500 0.5000  4 P 2.37
Ir: 0.7500 0.2500 0.5000  4 P 2.37
O: 0.2500 0.7500 0.0000  4 Dy 2.25
O: 0.7500 0.2500 0.0000  4 Dy 2.25

***

iv | A relaxed structure of DyPIrO, computed with PBE.

Calculated values
**V**: 15.6 A^3/atom
**SG**: Pmc2_1, No. 26
**Spin magnetization**: 0.00 μB/f.u.
**Calculated density**: 10.68 g/cm³

Cell: 4.6040 4.2063 6.4476 Å, 90.00 90.00 90.00°
Closest atoms and distances in Å follow each position.
Positions (direct):
Dy: 0.0000 0.2104 0.0000  3 O 2.26-2.37
Dy: 0.0000 0.7896 0.5000  3 O 2.26-2.37
P: 0.5000 0.1834 0.6937  3 Ir 2.31-2.33
P: 0.5000 0.8166 0.1937  3 Ir 2.31-2.33
Ir: 0.5000 0.3182 0.3461  2 O 2.30, 3 P 2.31-2.33
Ir: 0.5000 0.6818 0.8461  2 O 2.30, 3 P 2.31-2.33
O: 0.0000 0.3017 0.3457  3 Dy 2.26-2.37, 2 Ir 2.30
O: 0.0000 0.6983 0.8457  3 Dy 2.26-2.37, 2 Ir 2.30

***

In order of decreasing stability: iii, iv, i, ii.

***

i | A relaxed structure of DyIrOs, computed with PBE.

Calculated values
**V**: 21.0 A^3/atom
**SG**: F-43m, No. 216
**Spin magnetization**: 0.03 μB/f.u.
**Calculated density**: 14.33 g/cm³

Cell: 4.4693 4.4693 4.4693 Å, 60.00 60.00 60.00°
Closest atoms and distances in Å follow each position.
Positions (direct):
Dy: 0.0000 0.0000 0.0000  4 Ir 2.74, 4 Os 2.74
Ir: 0.7500 0.7500 0.7500  4 Dy 2.74
Os: 0.2500 0.2500 0.2500  4 Dy 2.74

***

ii | A relaxed structure of DyIrOs, computed with PBE.

Calculated values
**V**: 18.0 A^3/atom
**SG**: Amm2, No. 38
**Spin magnetization**: 0.00 μB/f.u.
**Calculated density**: 16.72 g/cm³

Cell: 8.8932 5.2868 5.2868 Å, 60.58 90.00 90.00°
Closest atoms and distances in Å follow each position.
Positions (direct):
Dy: 0.1812 0.0000 0.0000  7 Ir 3.07-3.13, 5 Os 3.12-3.21, 4 Dy 3.22-3.30
Dy: 0.3164 0.3330 0.3330  5 Ir 3.08-3.18, 7 Os 3.10-3.19, 4 Dy 3.27-3.30
Dy: 0.6836 0.3330 0.3330  5 Ir 3.08-3.18, 7 Os 3.10-3.19, 4 Dy 3.27-3.30
Dy: 0.8188 0.0000 0.0000  7 Ir 3.07-3.13, 5 Os 3.12-3.21, 4 Dy 3.22-3.30
Ir: 0.0000 0.0095 0.5011  2 Os 2.57-2.72, 4 Ir 2.62-2.73
Ir: 0.0000 0.5011 0.0095  2 Os 2.57-2.72, 4 Ir 2.62-2.73
Ir: 0.2490 0.6639 0.6639  4 Os 2.69-2.76, 2 Ir 2.73
Ir: 0.7510 0.6639 0.6639  4 Os 2.69-2.76, 2 Ir 2.73
Os: 0.0000 0.4975 0.4975  6 Ir 2.57-2.72
Os: 0.5000 0.3268 0.8374  4 Os 2.56-2.73, 2 Ir 2.72
Os: 0.5000 0.8374 0.3268  4 Os 2.56-2.73, 2 Ir 2.72
Os: 0.5000 0.8414 0.8414  4 Os 2.56-2.73, 2 Ir 2.76

***

In order of decreasing stability: ii, i.